(1)
Compound: In2Si2Sb
Source: Alexandria via LeMat-Bulk
Functional: PBE
Structure: optimized geometry

```
In2Si2Sb
1.0
-3.159 -7.403 -0.388
4.038 -1.365 -6.838
2.688 -1.243 1.835
Sb In Si
2 4 4
direct
0.500 0.500 0.000
0.000 0.000 0.000
0.641 0.859 0.500
0.141 0.641 0.500
0.859 0.359 0.500
0.359 0.141 0.500
0.340 0.840 0.000
0.840 0.660 0.000
0.660 0.160 0.000
0.160 0.340 0.000
```

Output
The value obtained for the polymorph energy (0 for the lowest one) is 136 meV/atom. The space group is P4/mbm, No. 127.


(2)
Compound: InSiSb2
Source: Alexandria via LeMat-Bulk
Functional: PBE
Structure: optimized geometry

```
InSiSb2
1.0
6.269 0.733 0.000
2.811 5.651 0.000
-4.540 -3.192 3.006
Sb In Si
2 1 1
direct
0.000 0.000 0.000
0.250 0.750 0.500
0.750 0.250 0.500
0.500 0.500 0.000
```

Output
The value obtained for the polymorph energy (0 for the lowest one) is 247 meV/atom. The space group is I-4m2, No. 119.


(3)
Compound: InSiSb3
Source: Alexandria via LeMat-Bulk
Functional: PBE
Structure: optimized geometry

```
InSiSb3
1.0
-1.968 1.935 -4.511
-4.341 -2.954 0.627
-2.290 3.936 2.688
Si Sb In
1 3 1
direct
0.000 0.000 0.000
0.000 0.000 0.500
0.000 0.500 0.000
0.500 0.000 0.000
0.500 0.500 0.500
```

Output
The value obtained for the polymorph energy (0 for the lowest one) is 0 meV/atom. The space group is Pm-3m, No. 221.


(4)
Compound: InSiSb2
Source: Alexandria via LeMat-Bulk
Functional: PBE
Structure: optimized geometry

```
InSiSb2
1.0
-6.456 0.242 -4.263
-7.605 -1.253 -0.706
-7.151 2.721 -1.167
Sb Si In
2 1 1
direct
0.238 0.238 0.238
0.000 0.000 0.000
0.503 0.503 0.503
0.759 0.759 0.759
```

Output
The value obtained for the polymorph energy (0 for the lowest one) is 59 meV/atom. The space group is R3m, No. 160.


(5)
Compound: InSiSb2
Source: Alexandria via LeMat-Bulk
Functional: PBE
Structure: optimized geometry

```
InSiSb2
1.0
-5.213 3.169 -1.564
-3.279 -1.396 -5.193
2.357 -2.218 5.403
Si Sb In
1 2 1
direct
0.750 0.250 0.500
0.947 0.947 0.000
0.553 0.553 0.000
0.250 0.750 0.500
```

Output
The value obtained for the polymorph energy (0 for the lowest one) is 122 meV/atom. The space group is Immm, No. 71.


(6)
Compound: InSiSb4
Source: Alexandria via LeMat-Bulk
Functional: PBE
Structure: optimized geometry

```
InSiSb4
1.0
-5.060 3.624 0.519
-1.238 4.280 -4.377
-4.829 -0.806 -3.878
Sb In Si
4 1 1
direct
0.376 0.873 0.376
0.873 0.376 0.376
0.376 0.376 0.376
0.376 0.376 0.873
0.000 0.000 0.000
0.750 0.750 0.750
```

Output
The space group is F-43m, No. 216. For the total energy, the calculation gives -21.56 eV per formula unit.


(7)
Compound: InSiSb2
Source: Alexandria via LeMat-Bulk
Functional: PBE
Structure: optimized geometry

```
InSiSb2
1.0
3.841 0.000 0.000
0.000 5.095 0.000
0.000 0.000 5.034
Si Sb In
1 2 1
direct
0.500 0.000 0.500
0.500 0.500 0.000
0.000 0.000 0.000
0.000 0.500 0.500
```

Output
The value obtained for the polymorph energy (0 for the lowest one) is 226 meV/atom. The space group is Pmmm, No. 47.


(8)
Compound: In2Si2Sb
Source: Alexandria via LeMat-Bulk
Functional: PBE
Structure: optimized geometry

```
In2Si2Sb
1.0
3.515 0.000 0.000
0.000 3.515 0.000
1.758 1.758 9.425
In Si Sb
2 2 1
direct
0.383 0.383 0.233
0.617 0.617 0.767
0.250 0.750 0.500
0.750 0.250 0.500
0.000 0.000 0.000
```

Output
The value obtained for the polymorph energy (0 for the lowest one) is 0 meV/atom. The space group is I4/mmm, No. 139.


(9)
Compound: InSiSb2
Source: Alexandria via LeMat-Bulk
Functional: PBE
Structure: optimized geometry

```
InSiSb2
1.0
-0.409 -3.116 1.698
3.191 -1.070 -1.196
3.368 2.993 6.306
Si Sb In
1 2 1
direct
0.500 0.500 0.250
0.000 0.000 0.457
0.000 0.000 0.043
0.500 0.500 0.750
```

Output
The value obtained for the polymorph energy (0 for the lowest one) is 141 meV/atom. The space group is P4/mmm, No. 123.


(10)
Compound: InSiSb2
Source: Alexandria via LeMat-Bulk
Functional: PBE
Structure: optimized geometry

```
InSiSb2
1.0
4.594 0.000 0.000
0.000 4.668 0.000
0.000 0.000 4.668
Sb In Si
2 1 1
direct
0.000 0.000 0.000
0.000 0.500 0.500
0.500 0.000 0.500
0.500 0.500 0.000
```

Output
The value obtained for the polymorph energy (0 for the lowest one) is 246 meV/atom. The space group is P4/mmm, No. 123.


(11)
Compound: InSiSb2
Source: Alexandria via LeMat-Bulk
Functional: PBE
Structure: optimized geometry

```
InSiSb2
1.0
-4.732 0.508 1.776
-1.665 -1.074 -4.678
-0.069 -3.675 0.868
In Sb Si
1 2 1
direct
0.000 0.500 0.500
0.500 0.500 0.000
0.000 0.000 0.000
0.500 0.000 0.500
```

Output
The value obtained for the polymorph energy (0 for the lowest one) is 217 meV/atom. The space group is Cmmm, No. 65.


(12)
Compound: InSiSb2
Source: Alexandria via LeMat-Bulk
Functional: PBE
Structure: optimized geometry

```
InSiSb2
1.0
-1.136 2.843 -1.256
1.323 -1.764 -2.467
-8.569 -4.144 -1.632
Si In Sb
1 1 2
direct
0.500 0.500 0.250
0.500 0.500 0.750
0.000 0.000 0.462
0.000 0.000 0.038
```

Output
The value obtained for the polymorph energy (0 for the lowest one) is 165 meV/atom. The space group is Cmmm, No. 65.


(13)
Compound: InSi2Sb2
Source: Alexandria via LeMat-Bulk
Functional: PBE
Structure: optimized geometry

```
InSi2Sb2
1.0
4.340 0.000 0.000
0.000 4.340 0.000
2.170 2.170 7.125
In Sb Si
1 2 2
direct
0.000 0.000 0.000
0.628 0.628 0.743
0.372 0.372 0.257
0.750 0.250 0.500
0.250 0.750 0.500
```

Output
The value obtained for the polymorph energy (0 for the lowest one) is 120 meV/atom. The space group is I4/mmm, No. 139.


(14)
Compound: InSiSb3
Source: Alexandria via LeMat-Bulk
Functional: PBE
Structure: optimized geometry

```
InSiSb3
1.0
5.552 0.000 0.000
0.000 5.552 0.000
0.000 0.000 5.552
Si In Sb
1 1 3
direct
0.500 0.500 0.500
0.000 0.000 0.000
0.000 0.500 0.000
0.000 0.000 0.500
0.500 0.000 0.000
```

Output
The value obtained for the polymorph energy (0 for the lowest one) is 635 meV/atom. The space group is Pm-3m, No. 221.


(15)
Compound: InSiSb2
Source: Alexandria via LeMat-Bulk
Functional: PBE
Structure: optimized geometry

```
InSiSb2
1.0
3.597 0.000 0.000
0.000 3.597 0.000
0.000 0.000 7.586
Sb Si In
2 1 1
direct
0.500 0.500 0.292
0.000 0.000 0.006
0.000 0.000 0.476
0.500 0.500 0.727
```

Output
The value obtained for the polymorph energy (0 for the lowest one) is 173 meV/atom. The space group is P4mm, No. 99.


(16)
Compound: InSiSb2
Source: Alexandria via LeMat-Bulk
Functional: PBE
Structure: optimized geometry

```
InSiSb2
1.0
6.375 0.000 0.000
0.000 6.375 0.000
3.188 3.188 6.648
Sb In Si
4 2 2
direct
0.156 0.625 0.250
0.375 0.406 0.750
0.875 0.844 0.750
0.594 0.125 0.250
0.750 0.250 0.500
0.000 0.000 0.000
0.250 0.750 0.500
0.500 0.500 0.000
```

Output
The value obtained for the polymorph energy (0 for the lowest one) is 43 meV/atom. The space group is I-42d, No. 122.


(17)
Compound: InSiSb2
Source: Alexandria via LeMat-Bulk
Functional: PBE
Structure: optimized geometry

```
InSiSb2
1.0
5.974 -0.008 0.003
4.797 3.561 0.003
2.167 0.715 4.926
Si Sb In
1 2 1
direct
0.499 0.499 0.388
0.185 0.185 0.357
0.017 0.017 0.996
0.798 0.798 0.759
```

Output
The value obtained for the polymorph energy (0 for the lowest one) is 119 meV/atom. The space group is Cm, No. 8.


(18)
Compound: InSiSbTe2
Source: Alexandria via LeMat-Bulk
Functional: PBE
Structure: optimized geometry

```
InSiSbTe2
1.0
5.352 0.000 0.000
0.000 5.352 0.000
0.000 0.000 5.301
Si Te Sb In
1 2 1 1
direct
0.000 0.000 0.000
0.000 0.500 0.000
0.500 0.000 0.000
0.000 0.000 0.500
0.500 0.500 0.500
```

Output
The value obtained for the polymorph energy (0 for the lowest one) is 0 meV/atom. The space group is P4/mmm, No. 123.


(19)
Compound: InSiSbTe2
Source: Alexandria via LeMat-Bulk
Functional: PBE
Structure: optimized geometry

```
InSiSbTe2
1.0
-3.722 2.724 -3.208
-4.091 -3.346 1.906
-0.979 3.573 4.170
Te In Si Sb
2 1 1 1
direct
0.500 0.000 0.000
0.000 0.500 0.000
0.000 0.000 0.000
0.500 0.500 0.500
0.000 0.000 0.500
```

Output
The value obtained for the polymorph energy (0 for the lowest one) is 618 meV/atom. The space group is P4/mmm, No. 123.


(20)
Compound: InSi2SbW
Source: Alexandria via LeMat-Bulk
Functional: PBE
Structure: optimized geometry

```
InSi2SbW
1.0
-1.111 -4.092 -2.504
4.703 -2.406 1.844
-2.425 -1.739 3.918
W In Si Sb
1 1 2 1
direct
0.500 0.500 0.500
0.000 0.000 0.000
0.500 0.000 0.000
0.000 0.000 0.500
0.000 0.500 0.000
```

Output
The space group is P4/mmm, No. 123. For the total energy, the calculation gives -20.56 eV per formula unit.